Compound: ErGa5Ag
Source: the Alexandria database
Functional: GGA-PBE
Structure: optimized geometry

The structure in POSCAR format:
```
ErGa5Ag
1.0
4.455 0.000 0.000
0.000 4.455 0.000
0.000 0.000 6.958
Er Ga Ag
1 5 1
Direct
0.000 0.000 0.000 Er
0.000 0.500 0.285 Ga
0.000 0.500 0.715 Ga
0.500 0.000 0.285 Ga
0.500 0.000 0.715 Ga
0.500 0.500 0.000 Ga
0.000 0.000 0.500 Ag
```

Energy of formation from the pure elements in meV/atom: -252
Total DFT energy (no corrections) in eV/atom: -3.4730

***

Compound: ZrHgMo2
Source: the Alexandria database
Functional: GGA-PBE
Structure: optimized geometry

The structure in POSCAR format:
```
ZrHgMo2
1.0
1.709 -2.287 0.000
1.709 2.287 0.000
0.000 0.000 9.437
Zr Hg Mo
1 1 2
Direct
0.000 0.000 0.000 Zr
0.000 0.000 0.500 Hg
0.500 0.500 0.248 Mo
0.500 0.500 0.752 Mo
```

Energy of formation from the pure elements in meV/atom: 368
Total DFT energy (no corrections) in eV/atom: -7.2598

***

Compound: NaCa2Au
Source: the Alexandria database
Functional: GGA-PBE
Structure: optimized geometry

The structure in POSCAR format:
```
NaCa2Au
1.0
0.000 3.818 3.818
3.818 0.000 3.818
3.818 3.818 0.000
Na Ca Au
1 2 1
Direct
0.000 0.000 0.000 Na
0.250 0.250 0.250 Ca
0.750 0.750 0.750 Ca
0.500 0.500 0.500 Au
```

Energy of formation from the pure elements in meV/atom: -323
Total DFT energy (no corrections) in eV/atom: -2.4730

***

Compound: BaCoOs2
Source: the Alexandria database
Functional: GGA-PBE
Structure: optimized geometry

The structure in POSCAR format:
```
BaCoOs2
1.0
3.798 0.000 0.000
0.000 3.798 0.000
0.000 0.000 5.208
Ba Co Os
1 1 2
Direct
0.000 0.000 0.000 Ba
0.500 0.500 0.000 Co
0.000 0.500 0.500 Os
0.500 0.000 0.500 Os
```

Energy of formation from the pure elements in meV/atom: 1479
Total DFT energy (no corrections) in eV/atom: -6.3935

***

Number 1: spin magnetization 0.00 μB/cell. Number 2: spin magnetization 0.00 μB/cell. Number 3: spin magnetization 0.00 μB/cell. Number 4: spin magnetization 1.72 μB/cell.